[1]
DFT (PBE) results for crystalline NiTe2Rh at its relaxed geometry.

Space-group type: No. 119

a = 5.6477 Å, b = 5.6477 Å, c = 5.6477 Å
α = 139.38°, β = 139.38°, γ = 58.80°
Last column: nearest neighbours and their distance in Å.
Fractional coordinates of all 4 atoms:
Te 0.0000 0.0000 0.0000  4 Ni 2.77
Te 0.2500 0.7500 0.5000  4 Rh 2.77
Rh 0.7500 0.2500 0.5000  4 Te 2.77
Ni 0.5000 0.5000 0.0000  4 Te 2.77



[2]
DFT (PBE) results for crystalline Ni2TeRh at its relaxed geometry.

Space-group type: No. 166

a = 7.7654 Å, b = 7.7654 Å, c = 7.7654 Å
α = 22.92°, β = 22.92°, γ = 22.92°
Last column: nearest neighbours and their distance in Å.
Fractional coordinates of all 4 atoms:
Rh 0.2500 0.2500 0.2500  6 Ni 2.60
Ni 0.0002 0.0002 0.0002  3 Te 2.59, 3 Rh 2.60
Te 0.7500 0.7500 0.7500  6 Ni 2.59
Ni 0.4998 0.4998 0.4998  3 Te 2.59, 3 Rh 2.60



The calculation returns the following energy relative to the elements, uncorrected values, one per record and in order: 0.2463 0.4126 eV/atom.